1.
This record from Alexandria describes crystalline Ho4TeP3 at its relaxed geometry. The functional is GGA-PBE.

Unit cell a=4.052 b=4.052 c=26.924 alpha=90.00 beta=90.00 gamma=120.00
Element x y z (fractional)
1 Ho 0.000 0.000 0.172
2 Ho 0.000 0.000 0.328
3 Ho 0.000 0.000 0.672
4 Ho 0.000 0.000 0.828
5 Ho 0.333 0.667 0.057
6 Ho 0.333 0.667 0.443
7 Ho 0.667 0.333 0.557
8 Ho 0.667 0.333 0.943
9 Te 0.333 0.667 0.250
10 Te 0.667 0.333 0.750
11 P 0.000 0.000 0.000
12 P 0.000 0.000 0.500
13 P 0.333 0.667 0.619
14 P 0.333 0.667 0.881
15 P 0.667 0.333 0.119
16 P 0.667 0.333 0.381

Computed properties:
Formation energy without anion corrections   -1.6051 eV per atom
Symmetry   No. 194
Density of states at the Fermi level   3.4 states/eV/cell
Calculated total energy   -6.315 eV/atom

2.
This record from Alexandria describes crystalline HoTh2Te2P2 at its relaxed geometry. The functional is GGA-PBE.

Unit cell a=5.077 b=5.077 c=15.940 alpha=90.00 beta=90.00 gamma=90.00
Element x y z (fractional)
1 Ho 0.000 0.000 0.000
2 Ho 0.500 0.500 0.500
3 Th 0.000 0.000 0.393
4 Th 0.000 0.000 0.607
5 Th 0.500 0.500 0.107
6 Th 0.500 0.500 0.893
7 Te 0.000 0.000 0.189
8 Te 0.000 0.000 0.811
9 Te 0.500 0.500 0.311
10 Te 0.500 0.500 0.689
11 P 0.000 0.500 0.000
12 P 0.000 0.500 0.500
13 P 0.500 0.000 0.000
14 P 0.500 0.000 0.500

Computed properties:
Formation energy without anion corrections   -1.0485 eV per atom
Symmetry   No. 139
Density of states at the Fermi level   7.3 states/eV/cell
Calculated total energy   -6.266 eV/atom

3.
This record from Alexandria describes crystalline HoThTeP at its relaxed geometry. The functional is GGA-PBE.

Unit cell a=4.116 b=4.116 c=22.118 alpha=90.00 beta=90.00 gamma=120.00
Element x y z (fractional)
1 Ho 0.000 0.000 0.000
2 Ho 0.333 0.667 0.667
3 Ho 0.667 0.333 0.333
4 Th 0.000 0.000 0.803
5 Th 0.333 0.667 0.470
6 Th 0.667 0.333 0.137
7 Te 0.000 0.000 0.238
8 Te 0.333 0.667 0.904
9 Te 0.667 0.333 0.571
10 P 0.000 0.000 0.399
11 P 0.333 0.667 0.066
12 P 0.667 0.333 0.733

Computed properties:
Formation energy without anion corrections   -1.4328 eV per atom
Symmetry   No. 160
Density of states at the Fermi level   2.1 states/eV/cell
Calculated total energy   -6.570 eV/atom

4.
This record from Alexandria describes crystalline Ho6TlTe3P2 at its relaxed geometry. The functional is GGA-PBE.

Unit cell a=9.503 b=9.503 c=8.656 alpha=103.95 beta=103.95 gamma=25.18
Element x y z (fractional)
1 Ho 0.012 0.012 0.254
2 Ho 0.324 0.324 0.437
3 Ho 0.332 0.332 0.885
4 Ho 0.668 0.668 0.115
5 Ho 0.676 0.676 0.563
6 Ho 0.988 0.988 0.746
7 Tl 0.500 0.500 0.000
8 Te 0.164 0.164 0.831
9 Te 0.500 0.500 0.500
10 Te 0.836 0.836 0.169
11 P 0.169 0.169 0.339
12 P 0.831 0.831 0.661

Computed properties:
Formation energy without anion corrections   -1.2604 eV per atom
Symmetry   No. 12
Density of states at the Fermi level   4.2 states/eV/cell
Calculated total energy   -5.434 eV/atom

5.
This record from Alexandria describes crystalline Ho4Tl2TeP at its relaxed geometry. The functional is GGA-PBE.

Unit cell a=7.046 b=3.981 c=8.190 alpha=90.00 beta=105.75 gamma=90.00
Element x y z (fractional)
1 Ho 0.215 0.000 0.211
2 Ho 0.235 0.500 0.773
3 Ho 0.765 0.500 0.227
4 Ho 0.785 0.000 0.789
5 Tl 0.000 0.000 0.500
6 Tl 0.500 0.500 0.500
7 Te 0.500 0.000 0.000
8 P 0.000 0.500 0.000

Computed properties:
Formation energy without anion corrections   -0.8579 eV per atom
Symmetry   No. 10
Density of states at the Fermi level   4.1 states/eV/cell
Calculated total energy   -4.807 eV/atom

6.
This record from Alexandria describes crystalline HoTmTeP at its relaxed geometry. The functional is GGA-PBE.

Unit cell a=4.033 b=4.033 c=21.513 alpha=90.00 beta=90.00 gamma=120.00
Element x y z (fractional)
1 Ho 0.000 0.000 0.000
2 Ho 0.333 0.667 0.667
3 Ho 0.667 0.333 0.333
4 Tm 0.000 0.000 0.194
5 Tm 0.333 0.667 0.861
6 Tm 0.667 0.333 0.528
7 Te 0.000 0.000 0.431
8 Te 0.333 0.667 0.097
9 Te 0.667 0.333 0.764
10 P 0.000 0.000 0.598
11 P 0.333 0.667 0.265
12 P 0.667 0.333 0.932

Computed properties:
Formation energy without anion corrections   -1.4893 eV per atom
Symmetry   No. 160
Density of states at the Fermi level   7.1 states/eV/cell
Calculated total energy   -5.889 eV/atom

7.
This record from Alexandria describes crystalline Ho4ThP5 at its relaxed geometry. The functional is GGA-PBE.

Unit cell a=10.631 b=10.631 c=10.631 alpha=158.17 beta=148.92 gamma=38.31
Element x y z (fractional)
1 Ho 0.103 0.103 0.000
2 Ho 0.297 0.297 0.000
3 Ho 0.703 0.703 0.000
4 Ho 0.897 0.897 0.000
5 Th 0.500 0.500 0.000
6 P 0.000 0.500 0.500
7 P 0.200 0.700 0.500
8 P 0.397 0.897 0.500
9 P 0.603 0.103 0.500
10 P 0.800 0.300 0.500

Computed properties:
Symmetry   No. 71
Energy of formation from the pure elements   -1606.0 meV per atom
Density of states at the Fermi level   2.8 states/eV/cell
Calculated total energy   -6.884 eV/atom

8.
This record from Alexandria describes crystalline HoThP at its relaxed geometry. The functional is GGA-PBE.

Unit cell a=3.883 b=3.883 c=6.554 alpha=90.00 beta=90.00 gamma=120.00
Element x y z (fractional)
1 Ho 0.000 0.000 0.000
2 Th 0.667 0.333 0.489
3 P 0.333 0.667 0.759

Computed properties:
Relative energy among the computed polymorphs   0.0 meV per atom
Symmetry   No. 156
Energy of formation from the pure elements   -855.5 meV per atom
Density of states at the Fermi level   2.0 states/eV/cell
Calculated total energy   -6.658 eV/atom